VASP calculation (PBE-GGA) on Zr2FeBr after structural relaxation.

Lattice parameters (Å, degrees): 5.004 5.004 5.004 134.14 118.69 79.84
Sites, in units of the cell vectors:
Zr  0.237  0.237  0.000
Zr  0.763  0.763  0.000
Fe  0.000  0.500  0.500
Br  0.500  0.000  0.500

Results
- ΔE_f (raw) (eV per atom) = 0.1047
- mass density (g/cm3) = 6.92

=====

VASP calculation (PBE-GGA) on ZrFeBr after structural relaxation.

Lattice parameters (Å, degrees): 4.289 4.289 4.289 60.00 60.00 60.00
Sites, in units of the cell vectors:
Zr  0.000  0.000  0.000
Fe  0.250  0.250  0.250
Br  0.500  0.500  0.500

Results
- ΔE_f (raw) (eV per atom) = 0.3758
- mass density (g/cm3) = 6.75

=====

VASP calculation (PBE-GGA) on Zr2FeBr after structural relaxation.

Lattice parameters (Å, degrees): 5.826 5.826 5.826 141.47 141.47 55.62
Sites, in units of the cell vectors:
Zr  0.000  0.000  0.000
Zr  0.750  0.250  0.500
Fe  0.500  0.500  0.000
Br  0.250  0.750  0.500

Results
- ΔE_f (raw) (eV per atom) = 0.2367
- mass density (g/cm3) = 6.94

=====

VASP calculation (PBE-GGA) on Zr2FeBr after structural relaxation.

Lattice parameters (Å, degrees): 4.924 4.924 3.192 96.74 96.74 100.40
Sites, in units of the cell vectors:
Zr  0.000  0.500  0.000
Zr  0.500  0.000  0.000
Fe  0.000  0.000  0.500
Br  0.500  0.500  0.500

Results
- ΔE_f (raw) (eV per atom) = 0.0410
- mass density (g/cm3) = 7.06

=====

VASP calculation (PBE-GGA) on Zr2FeBr after structural relaxation.

Lattice parameters (Å, degrees): 7.833 7.833 3.313 90.72 90.72 24.92
Sites, in units of the cell vectors:
Zr  0.000  0.000  0.000
Zr  0.192  0.192  0.481
Fe  0.623  0.623  0.979
Br  0.383  0.383  0.495

Results
- ΔE_f (raw) (eV per atom) = -0.2570
- mass density (g/cm3) = 6.17

=====

VASP calculation (PBE-GGA) on Zr2FeBr after structural relaxation.

Lattice parameters (Å, degrees): 7.873 7.873 7.873 156.05 155.11 34.81
Sites, in units of the cell vectors:
Zr  0.000  0.000  0.000
Zr  0.802  0.302  0.500
Fe  0.426  0.426  0.000
Br  0.178  0.678  0.500

Results
- ΔE_f (raw) (eV per atom) = -0.2301
- mass density (g/cm3) = 6.34

=====

VASP calculation (PBE-GGA) on Zr2FeBr after structural relaxation.

Lattice parameters (Å, degrees): 4.709 4.709 4.709 60.00 60.00 60.00
Sites, in units of the cell vectors:
Zr  0.250  0.250  0.250
Zr  0.750  0.750  0.750
Fe  0.000  0.000  0.000
Br  0.500  0.500  0.500

Results
- ΔE_f (raw) (eV per atom) = 0.2330
- mass density (g/cm3) = 7.16

=====

VASP calculation (PBE-GGA) on ZrFeBr after structural relaxation.

Lattice parameters (Å, degrees): 3.434 3.434 6.200 90.00 90.00 120.00
Sites, in units of the cell vectors:
Zr  0.000  0.000  0.000
Fe  0.333  0.667  0.734
Br  0.667  0.333  0.340

Results
- ΔE_f (raw) (eV per atom) = -0.0289
- mass density (g/cm3) = 5.95

=====

Q: Which value of mass density does entry 6 give?
A: 6.34 g/cm3

=====

Q: Which formula does entry 6 have?
A: Zr2FeBr

=====

Q: What is the ΔE_f (raw) in the eighth record?
A: -0.0289 eV per atom